VASP calculation (PBE) on an optimized crystal structure of Ca2Bi.

* space group: No. 139

a b c (Å): 4.8660 4.8660 17.0433
angles (deg): 90.00 90.00 90.00
With the nearest neighbours (Å) after each atom.
Element x y z (fractional)
Ca  0.0000  0.0000  0.1735  5 Bi 3.24-3.50
Ca  0.0000  0.0000  0.8265  5 Bi 3.24-3.50
Ca  0.0000  0.5000  0.0000  4 Bi 3.37, 4 Ca 3.44
Ca  0.0000  0.5000  0.5000  4 Bi 3.37, 4 Ca 3.44
Ca  0.5000  0.0000  0.0000  4 Bi 3.37, 4 Ca 3.44
Ca  0.5000  0.0000  0.5000  4 Bi 3.37, 4 Ca 3.44
Ca  0.5000  0.5000  0.3265  5 Bi 3.24-3.50
Ca  0.5000  0.5000  0.6735  5 Bi 3.24-3.50
Bi  0.0000  0.0000  0.3635  9 Ca 3.24-3.50
Bi  0.0000  0.0000  0.6365  9 Ca 3.24-3.50
Bi  0.5000  0.5000  0.1365  9 Ca 3.24-3.50
Bi  0.5000  0.5000  0.8635  9 Ca 3.24-3.50

VASP calculation (PBE) on an optimized crystal structure of Ca2Bi.

* space group: No. 129

a b c (Å): 4.8131 4.8131 8.6709
angles (deg): 90.00 90.00 90.00
With the nearest neighbours (Å) after each atom.
Element x y z (fractional)
Ca  0.2500  0.2500  0.1479  5 Bi 3.27-3.48
Ca  0.2500  0.7500  0.5000  4 Bi 3.36, 4 Ca 3.40
Ca  0.7500  0.2500  0.5000  4 Bi 3.36, 4 Ca 3.40
Ca  0.7500  0.7500  0.8521  5 Bi 3.27-3.48
Bi  0.2500  0.2500  0.7705  9 Ca 3.27-3.48
Bi  0.7500  0.7500  0.2295  9 Ca 3.27-3.48

VASP calculation (PBE) on an optimized crystal structure of Ca3Bi.

* space group: No. 221
* relative energy among the computed polymorphs: 0.0 kJ/mol of atoms

a b c (Å): 5.1081 5.1081 5.1081
angles (deg): 90.00 90.00 90.00
With the nearest neighbours (Å) after each atom.
Element x y z (fractional)
Ca  0.0000  0.0000  0.5000  4 Bi 3.61, 8 Ca 3.61
Ca  0.0000  0.5000  0.0000  4 Bi 3.61, 8 Ca 3.61
Ca  0.5000  0.0000  0.0000  4 Bi 3.61, 8 Ca 3.61
Bi  0.5000  0.5000  0.5000  12 Ca 3.61

VASP calculation (PBE) on an optimized crystal structure of CaBi.

* space group: No. 176

a b c (Å): 9.0396 9.0396 6.4447
angles (deg): 90.00 90.00 120.00
With the nearest neighbours (Å) after each atom.
Element x y z (fractional)
Ca  0.0898  0.3564  0.2500  5 Bi 3.18-3.36
Ca  0.2666  0.9102  0.2500  5 Bi 3.18-3.36
Ca  0.3564  0.2666  0.7500  5 Bi 3.18-3.36
Ca  0.6436  0.7334  0.2500  5 Bi 3.18-3.36
Ca  0.7334  0.0898  0.7500  5 Bi 3.18-3.36
Ca  0.9102  0.6436  0.7500  5 Bi 3.18-3.36
Bi  0.1244  0.4390  0.7500  5 Ca 3.18-3.36, 2 Bi 3.43
Bi  0.3146  0.8756  0.7500  5 Ca 3.18-3.36, 2 Bi 3.43
Bi  0.4390  0.3146  0.2500  5 Ca 3.18-3.36, 2 Bi 3.43
Bi  0.5610  0.6854  0.7500  5 Ca 3.18-3.36, 2 Bi 3.43
Bi  0.6854  0.1244  0.2500  5 Ca 3.18-3.36, 2 Bi 3.43
Bi  0.8756  0.5610  0.2500  5 Ca 3.18-3.36, 2 Bi 3.43

VASP calculation (PBE) on an optimized crystal structure of Ca2Bi7.

* space group: No. 12

a b c (Å): 6.2228 6.2228 8.7928
angles (deg): 92.79 92.79 121.44
With the nearest neighbours (Å) after each atom.
Element x y z (fractional)
Ca  0.1628  0.8372  0.0000  9 Bi 3.42-3.66, 3 Ca 3.53-3.58
Ca  0.8372  0.1628  0.0000  9 Bi 3.42-3.66, 3 Ca 3.53-3.58
Bi  0.1110  0.4773  0.6752  8 Bi 3.37-3.74, 2 Ca 3.44-3.53
Bi  0.2068  0.2068  0.3146  2 Ca 3.42, 9 Bi 3.44-3.74
Bi  0.4773  0.1110  0.6752  8 Bi 3.37-3.74, 2 Ca 3.44-3.53
Bi  0.5000  0.5000  0.0000  6 Bi 3.44-3.60, 6 Ca 3.52-3.66
Bi  0.5227  0.8890  0.3248  8 Bi 3.37-3.74, 2 Ca 3.44-3.53
Bi  0.7932  0.7932  0.6854  2 Ca 3.42, 9 Bi 3.44-3.74
Bi  0.8890  0.5227  0.3248  8 Bi 3.37-3.74, 2 Ca 3.44-3.53

VASP calculation (PBE) on an optimized crystal structure of Ca5Bi2.

* space group: No. 15

a b c (Å): 9.1539 9.1539 8.6268
angles (deg): 96.12 96.12 44.79
With the nearest neighbours (Å) after each atom.
Element x y z (fractional)
Ca  0.1229  0.8771  0.7500  4 Bi 3.22-3.27
Ca  0.1446  0.3015  0.3157  3 Bi 3.26-3.35
Ca  0.2744  0.5388  0.0728  3 Bi 3.26-3.58
Ca  0.3015  0.1446  0.8157  3 Bi 3.26-3.35
Ca  0.4612  0.7256  0.4272  3 Bi 3.26-3.58
Ca  0.5388  0.2744  0.5728  3 Bi 3.26-3.58
Ca  0.6985  0.8554  0.1843  3 Bi 3.26-3.35
Ca  0.7256  0.4612  0.9272  3 Bi 3.26-3.58
Ca  0.8554  0.6985  0.6843  3 Bi 3.26-3.35
Ca  0.8771  0.1229  0.2500  4 Bi 3.22-3.27
Bi  0.0848  0.7048  0.4190  8 Ca 3.22-3.58
Bi  0.2952  0.9152  0.0810  8 Ca 3.22-3.58
Bi  0.7048  0.0848  0.9190  8 Ca 3.22-3.58
Bi  0.9152  0.2952  0.5810  8 Ca 3.22-3.58

Number 1: DFT total energy -3.3895 eV per atom, ΔH_f (0 K) -0.761 eV/atom. Number 2: DFT total energy -3.3175 eV per atom, ΔH_f (0 K) -0.689 eV/atom. Number 3: DFT total energy -2.9395 eV per atom, ΔH_f (0 K) -0.468 eV/atom. Number 4: DFT total energy -3.3748 eV per atom, ΔH_f (0 K) -0.433 eV/atom. Number 5: DFT total energy -3.6550 eV per atom, ΔH_f (0 K) -0.192 eV/atom. Number 6: DFT total energy -3.1083 eV per atom, ΔH_f (0 K) -0.570 eV/atom.